No. 1
First-principles (PBE) data for a relaxed Eu2GaRh crystal, as listed in the Alexandria database.

Its energy above the most stable polymorph in this dataset is 32 meV/atom. The value obtained for the theoretical density is 8.346 g/cm3. The space group is Fm-3m, No. 225.

Cell and atoms, written as extended XYZ:
```
4
Lattice="0.0000 3.6192 3.6192 3.6192 0.0000 3.6192 3.6192 3.6192 0.0000" Properties=species:S:1:pos:R:3 pbc="T T T"
Eu 1.8096 1.8096 1.8096
Eu 5.4289 5.4289 5.4289
Ga 0.0000 0.0000 0.0000
Rh 3.6192 3.6192 3.6192
```

No. 2
First-principles (PBE) data for a relaxed Tb3GeS2 crystal, as listed in the Alexandria database.

Its energy above the most stable polymorph in this dataset is 777 meV/atom. The value obtained for the theoretical density is 5.392 g/cm3. The space group is Cmcm, No. 63.

Cell and atoms, written as extended XYZ:
```
12
Lattice="5.4069 -5.3984 0.0000 5.4069 5.3984 0.0000 0.0000 0.0000 6.4728" Properties=species:S:1:pos:R:3 pbc="T T T"
Tb 5.4069 4.2842 4.8546
Tb 3.7113 0.9423 4.8546
Tb 3.7113 -0.9423 1.6182
Tb 7.1026 0.9423 4.8546
Tb 7.1026 -0.9423 1.6182
Tb 5.4069 -4.2842 1.6182
Ge 5.4069 1.3942 1.6182
Ge 5.4069 -1.3942 4.8546
S 1.8049 0.0000 0.0000
S 1.8049 0.0000 3.2364
S 9.0090 0.0000 0.0000
S 9.0090 0.0000 3.2364
```

No. 3
First-principles (PBE) data for a relaxed Zr2FeCl crystal, as listed in the Alexandria database.

Its energy above the most stable polymorph in this dataset is 138 meV/atom. The value obtained for the theoretical density is 5.840 g/cm3. The space group is Imm2, No. 44.

Cell and atoms, written as extended XYZ:
```
4
Lattice="-1.5953 1.6668 7.3187 1.5953 -1.6668 7.3187 1.5953 1.6668 -7.3187" Properties=species:S:1:pos:R:3 pbc="T T T"
Zr 0.0000 0.0000 0.0000
Zr 0.0000 1.6668 4.2730
Fe 0.0000 0.0000 6.1392
Cl 1.5953 0.0000 2.5162
```

No. 4
First-principles (PBE) data for a relaxed MnFeAu2 crystal, as listed in the Alexandria database.

The total energy is -5.854 eV per atom. The value obtained for the theoretical density is 13.249 g/cm3. The space group is F-43m, No. 216.

Cell and atoms, written as extended XYZ:
```
4
Lattice="0.0000 3.1625 3.1625 3.1625 0.0000 3.1625 3.1625 3.1625 0.0000" Properties=species:S:1:pos:R:3 pbc="T T T"
Mn 0.0000 0.0000 0.0000
Fe 1.5813 1.5813 1.5813
Au 3.1625 3.1625 3.1625
Au 4.7438 4.7438 4.7438
```

No. 5
First-principles (PBE) data for a relaxed TaAlO2 crystal, as listed in the Alexandria database.

The total energy is -7.864 eV per atom. The value obtained for the theoretical density is 8.153 g/cm3. The space group is I-42d, No. 122.

Cell and atoms, written as extended XYZ:
```
8
Lattice="-2.3656 2.3656 4.3662 2.3656 -2.3656 4.3662 2.3656 2.3656 -4.3662" Properties=species:S:1:pos:R:3 pbc="T T T"
Ta 0.0000 0.0000 0.0000
Ta 0.0000 2.3656 2.1831
Al 2.3656 0.0000 2.1831
Al 0.0000 0.0000 4.3662
O 1.1828 -0.8216 3.2746
O 1.5439 1.1828 1.0915
O 1.1828 3.1872 -1.0915
O 0.8216 1.1828 5.4577
```

No. 6
First-principles (PBE) data for a relaxed TbGa2Cu4 crystal, as listed in the Alexandria database.

Its energy above the most stable polymorph in this dataset is 458 meV/atom. The value obtained for the theoretical density is 6.618 g/cm3. The space group is I4/mmm, No. 139.

Cell and atoms, written as extended XYZ:
```
7
Lattice="-3.5943 3.5943 2.6830 3.5943 -3.5943 2.6830 3.5943 3.5943 -2.6830" Properties=species:S:1:pos:R:3 pbc="T T T"
Tb 0.0000 0.0000 0.0000
Ga 3.5943 0.0000 1.3415
Ga 0.0000 3.5943 1.3415
Cu 3.5943 1.9618 0.0000
Cu 1.9618 3.5943 0.0000
Cu 1.6325 0.0000 2.6830
Cu 0.0000 1.6325 2.6830
```

No. 7
First-principles (PBE) data for a relaxed CaFe3Si3 crystal, as listed in the Alexandria database.

The total energy is -6.141 eV per atom. The value obtained for the theoretical density is 3.835 g/cm3. The space group is Pm-3n, No. 223.

Cell and atoms, written as extended XYZ:
```
14
Lattice="6.3227 0.0000 0.0000 0.0000 6.3227 0.0000 0.0000 0.0000 6.3227" Properties=species:S:1:pos:R:3 pbc="T T T"
Ca 0.0000 0.0000 0.0000
Ca 3.1613 3.1613 3.1613
Fe 0.0000 1.5807 3.1613
Fe 0.0000 4.7420 3.1613
Fe 1.5807 3.1613 0.0000
Fe 3.1613 0.0000 1.5807
Fe 3.1613 0.0000 4.7420
Fe 4.7420 3.1613 0.0000
Si 0.0000 3.1613 1.5807
Si 0.0000 3.1613 4.7420
Si 1.5807 0.0000 3.1613
Si 3.1613 1.5807 0.0000
Si 3.1613 4.7420 0.0000
Si 4.7420 0.0000 3.1613
```

No. 8
First-principles (PBE) data for a relaxed Pm3Pr4SmSe8 crystal, as listed in the Alexandria database.

The total energy is -5.957 eV per atom. The value obtained for the theoretical density is 6.907 g/cm3. The space group is R-3m, No. 166.

Cell and atoms, written as extended XYZ:
```
16
Lattice="4.2226 2.4379 6.9311 -4.2226 2.4379 6.9311 0.0000 -4.8758 6.9311" Properties=species:S:1:pos:R:3 pbc="T T T"
Pm -2.1113 -1.2190 6.9311
Pm -2.1113 1.2190 13.8623
Pm 0.0000 2.4379 6.9311
Pr -4.2226 0.0000 10.3967
Pr -2.1113 1.2190 3.4656
Pr 2.1113 1.2190 3.4656
Pr 0.0000 0.0000 10.3967
Sm 0.0000 0.0000 0.0000
Se 0.0000 -2.4471 8.6131
Se -2.1192 1.2235 8.6131
Se -2.1192 -1.2235 12.1803
Se 0.0000 0.0000 5.2429
Se 0.0000 0.0000 15.5505
Se 2.1192 1.2235 8.6131
Se 2.1192 -1.2235 12.1803
Se 0.0000 2.4471 12.1803
```

- theoretical density of number 2 (Tb3GeS2)?
  5.392 g/cm3

- Which of these has the lowest theoretical density?
  CaFe3Si3

- theoretical density of number 1 (Eu2GaRh)?
  8.346 g/cm3